Record 1
The following is a DFT calculation (PBE-GGA) of a relaxed structure of SrMoPb2N.

Calculated values
Energy relative to the elements, uncorrected (meV/atom): 2544
SG: No. 123

abc: 6.2785 6.2785 5.8048
angles: 90.00 90.00 90.00
Fractional positions:
Sr (0.0000, 0.0000, 0.0000)
Mo (0.0000, 0.0000, 0.5000)
Pb (0.0000, 0.5000, 0.0000)
Pb (0.5000, 0.0000, 0.0000)
N (0.5000, 0.5000, 0.5000)

Record 2
The following is a DFT calculation (PBE-GGA) of a relaxed structure of Nd12Ho7Tm.

Calculated values
ΔE_f (eV per formula unit): 5.4
Relative energy among the computed polymorphs (meV per atom): 44
SG: No. 148

abc: 8.8448 8.8448 8.8448
angles: 93.83 93.83 93.83
Fractional positions:
Nd (0.0170, 0.3517, 0.0866)
Nd (0.0866, 0.0170, 0.3517)
Nd (0.1880, 0.3231, 0.7508)
Nd (0.2492, 0.8120, 0.6769)
Nd (0.3231, 0.7508, 0.1880)
Nd (0.3517, 0.0866, 0.0170)
Nd (0.6483, 0.9134, 0.9830)
Nd (0.6769, 0.2492, 0.8120)
Nd (0.7508, 0.1880, 0.3231)
Nd (0.8120, 0.6769, 0.2492)
Nd (0.9134, 0.9830, 0.6483)
Nd (0.9830, 0.6483, 0.9134)
Ho (0.0000, 0.0000, 0.0000)
Ho (0.1517, 0.4743, 0.4135)
Ho (0.4135, 0.1517, 0.4743)
Ho (0.4743, 0.4135, 0.1517)
Ho (0.5257, 0.5865, 0.8483)
Ho (0.5865, 0.8483, 0.5257)
Ho (0.8483, 0.5257, 0.5865)
Tm (0.5000, 0.5000, 0.5000)

Record 3
The following is a DFT calculation (PBE-GGA) of a relaxed structure of Li4Ca5Al.

Calculated values
ΔE_f (eV per formula unit): -0.3
SG: No. 123

abc: 3.8911 3.8911 19.7194
angles: 90.00 90.00 90.00
Fractional positions:
Li (0.0000, 0.0000, 0.1016)
Li (0.0000, 0.0000, 0.3099)
Li (0.0000, 0.0000, 0.6901)
Li (0.0000, 0.0000, 0.8984)
Ca (0.5000, 0.5000, 0.0000)
Ca (0.5000, 0.5000, 0.2046)
Ca (0.5000, 0.5000, 0.4108)
Ca (0.5000, 0.5000, 0.5892)
Ca (0.5000, 0.5000, 0.7954)
Al (0.0000, 0.0000, 0.5000)

Record 4
The following is a DFT calculation (PBE-GGA) of a relaxed structure of Sc3Ta.

Calculated values
ΔE_f (eV per formula unit): 0.7
Relative energy among the computed polymorphs (meV per atom): 60
SG: No. 65

abc: 6.2812 9.0596 3.0679
angles: 90.00 90.00 90.00
Fractional positions:
Sc (0.0000, 0.0000, 0.0000)
Sc (0.2500, 0.2500, 0.5000)
Sc (0.2500, 0.7500, 0.5000)
Sc (0.5000, 0.5000, 0.0000)
Sc (0.7500, 0.2500, 0.5000)
Sc (0.7500, 0.7500, 0.5000)
Ta (0.0000, 0.5000, 0.0000)
Ta (0.5000, 0.0000, 0.0000)

| no. | magnetization (μB/f.u.) |
| --- | --- |
| 1 | 5.4 |
| 2 | 0.0 |
| 3 | 0.0 |
| 4 | 0.0 |